Computed, not measured: crystalline CoAuI2O at its relaxed geometry at the PBE+U level of DFT.

abc: 5.7372 5.7372 3.5333
angles: 90.00 90.00 90.00
Last column: nearest neighbours and their distance in Å.
Element x y z (fractional)
O (0.0000, 0.0000, 0.5000)  2 Co 1.77
I (0.5000, 0.0000, 0.0000)  2 Co 2.87
Au (0.5000, 0.5000, 0.5000)  8 I 3.37, 2 Au 3.53
Co (0.0000, 0.0000, 0.0000)  2 O 1.77
I (0.0000, 0.5000, 0.0000)  2 Co 2.87

Values from the calculation:
For the total energy, the calculation gives -3.22 eV/atom.